Compound: Ba6Ga2HO
Source: Alexandria via LeMat-Bulk
Functional: PBE
Structure: relaxed

Unit cell a=7.7139 b=7.9921 c=13.5240 alpha=90.00 beta=124.63 gamma=90.00
Space group P2_1/c (No. 14)
Symmetry-distinct sites (fractional):
Ba 0.1458 0.0185 0.2412 x4
Ba 0.2450 0.7169 0.0473 x4
Ba 0.3341 0.2017 0.0492 x4
Ga 0.2720 0.0556 0.7493 x4
H 0.5000 0.0000 0.5000 x2
O 0.0000 0.0000 0.0000 x2

## Properties
Volume: 686.1 Å³ per cell
Fermi-level density of states: 6.80 states/eV/f.u.
Magnetization: 0.00 μB per cell
Energy: -3.316 eV per atom